DFT (PBE) results for a relaxed structure of ZrNb2RhN.

Results
Crystal system   tetragonal
ΔE_f (raw)   -0.68 eV per atom
Density of states at the Fermi level   3.56 states/eV per cell

Geometry as POSCAR:
```
ZrNb2RhN
1.0
4.2028 0.0000 0.0000
0.0000 4.2028 0.0000
0.0000 0.0000 4.5133
Zr Nb Rh N
1 2 1 1
Direct
0.0000 0.0000 0.0000
0.0000 0.5000 0.5000
0.5000 0.0000 0.5000
0.5000 0.5000 0.0000
0.0000 0.0000 0.5000
```

=====

DFT (PBE) results for a relaxed structure of CaHfGaMo2.

Results
Crystal system   tetragonal
Formation enthalpy at 0 K   156.4 kJ per mole of atoms
Density of states at the Fermi level   7.17 states/eV per cell

Geometry as POSCAR:
```
CaHfGaMo2
1.0
4.8267 0.0000 0.0000
0.0000 4.8267 0.0000
0.0000 0.0000 5.7247
Ca Hf Ga Mo
1 1 1 2
Direct
0.0000 0.0000 0.0000
0.0000 0.0000 0.5000
0.5000 0.5000 0.0000
0.0000 0.5000 0.5000
0.5000 0.0000 0.5000
```

=====

DFT (PBE) results for a relaxed structure of PmSeF.

Results
Crystal system   tetragonal
ΔE_f (raw)   -2.89 eV per atom
Distance to the lowest polymorph of the same formula   0.000 eV/f.u.

Geometry as POSCAR:
```
PmSeF
1.0
4.0120 0.0000 0.0000
0.0000 4.0120 0.0000
0.0000 0.0000 7.2114
Pm Se F
2 2 2
Direct
0.2500 0.2500 0.2173
0.7500 0.7500 0.7827
0.2500 0.2500 0.6436
0.7500 0.7500 0.3564
0.2500 0.7500 0.0000
0.7500 0.2500 0.0000
```

=====

What did the first record say?
DFT (PBE) results for a relaxed structure of ZrNb2RhN.

Results
Crystal system   tetragonal
ΔE_f (raw)   -0.68 eV per atom
Density of states at the Fermi level   3.56 states/eV per cell

Geometry as POSCAR:
```
ZrNb2RhN
1.0
4.2028 0.0000 0.0000
0.0000 4.2028 0.0000
0.0000 0.0000 4.5133
Zr Nb Rh N
1 2 1 1
Direct
0.0000 0.0000 0.0000
0.0000 0.5000 0.5000
0.5000 0.0000 0.5000
0.5000 0.5000 0.0000
0.0000 0.0000 0.5000
```

=====

Please write out number 3 again, unchanged.
DFT (PBE) results for a relaxed structure of PmSeF.

Results
Crystal system   tetragonal
ΔE_f (raw)   -2.89 eV per atom
Distance to the lowest polymorph of the same formula   0.000 eV/f.u.

Geometry as POSCAR:
```
PmSeF
1.0
4.0120 0.0000 0.0000
0.0000 4.0120 0.0000
0.0000 0.0000 7.2114
Pm Se F
2 2 2
Direct
0.2500 0.2500 0.2173
0.7500 0.7500 0.7827
0.2500 0.2500 0.6436
0.7500 0.7500 0.3564
0.2500 0.7500 0.0000
0.7500 0.2500 0.0000
```